An optimized crystal structure of CsYV2O6. Source: Alexandria, functional PBE with a Hubbard U.

Results
The crystal system is monoclinic. The calculation puts the total energy at -301.96 eV per cell.

Cell lengths 11.080, 10.211, 6.112 Å; angles 90.00, 103.43, 90.00 degrees
Space group C2/c (No. 15)
One atom of each set of equivalent atoms:
Cs: 0.000 0.178 0.250
Y: 0.000 0.401 0.750
V: 0.223 0.090 0.827
O: 0.108 0.437 0.113
O: 0.147 0.242 0.766
O: 0.173 0.004 0.058